(1)
Density functional theory data (GGA-PBE) for a relaxed structure of BeOs2Br.

Cell: 6.8930 6.8930 6.8930 Å, 155.67 146.24 42.05°
With the nearest neighbours (Å) after each atom.
Atoms (fractional coordinates):
Br1 0.3465 0.8465 0.5000  2 Be 2.28
Be1 0.4828 0.4828 0.0000  2 Br 2.28, 2 Os 2.43
Os1 0.6345 0.1345 0.5000  2 Os 2.37, 2 Be 2.43
Os2 0.0363 0.0363 0.0000  2 Os 2.37, 4 Be 2.57

Energy relative to the elements, uncorrected, eV/f.u.: 3.0
Energy relative to the lowest polymorph listed for this composition, eV/f.u.: 0.833



(2)
Density functional theory data (GGA-PBE) for a relaxed structure of SrCa2Mo.

Cell: 6.4924 6.6641 3.6244 Å, 78.91 80.60 116.28°
With the nearest neighbours (Å) after each atom.
Atoms (fractional coordinates):
Ca1 0.0000 0.0000 0.0000  4 Ca 3.45-3.62, 2 Mo 3.47, 2 Sr 3.47
Mo1 0.0000 0.5000 0.5000  2 Sr 3.45, 4 Ca 3.47, 2 Mo 3.62
Sr1 0.5000 0.5000 0.0000  2 Mo 3.45, 4 Ca 3.47, 2 Sr 3.62
Ca2 0.5000 0.0000 0.5000  4 Ca 3.45-3.62, 2 Sr 3.47, 2 Mo 3.47

Energy relative to the lowest polymorph listed for this composition, eV/f.u.: 0.930
Energy of formation, meV per atom: 865



(3)
Density functional theory data (GGA-PBE) for a relaxed structure of PrAl4Pd2Rh.

Cell: 4.2694 4.2694 9.3888 Å, 76.86 76.86 60.00°
With the nearest neighbours (Å) after each atom.
Atoms (fractional coordinates):
Pd1 0.7680 0.7680 0.6961  7 Al 2.58-2.66
Pd2 0.2320 0.2320 0.3039  7 Al 2.58-2.66
Al1 0.5940 0.5940 0.2180  1 Rh 2.55, 3 Pd 2.58
Al2 0.8656 0.8656 0.4031  3 Rh 2.62, 4 Pd 2.62-2.66
Rh1 0.5000 0.5000 0.5000  8 Al 2.55-2.62
Pr1 0.0000 0.0000 0.0000  6 Al 3.16
Al3 0.4060 0.4060 0.7820  1 Rh 2.55, 3 Pd 2.58
Al4 0.1344 0.1344 0.5969  3 Rh 2.62, 4 Pd 2.62-2.66

Energy of formation, meV per atom: -815



(4)
Density functional theory data (GGA-PBE) for a relaxed structure of Li2ZnAu.

Cell: 3.9240 3.9289 3.9106 Å, 90.00 90.00 90.00°
With the nearest neighbours (Å) after each atom.
Atoms (fractional coordinates):
Au1 0.0000 0.5000 0.5000  8 Li 2.77, 4 Zn 2.78
Li1 0.5000 0.5000 0.0000  4 Au 2.77, 4 Zn 2.77, 4 Li 2.78
Zn1 0.5000 0.0000 0.5000  8 Li 2.77, 4 Au 2.78
Li2 0.0000 0.0000 0.0000  4 Zn 2.77, 4 Au 2.77, 4 Li 2.78

Energy of formation, meV per atom: -398



(5)
Density functional theory data (GGA-PBE) for a relaxed structure of Nd4Hg5Pd2.

Cell: 3.7829 7.8108 9.7018 Å, 93.96 90.00 90.00°
With the nearest neighbours (Å) after each atom.
Atoms (fractional coordinates):
Nd1 0.5000 0.2369 0.4340  4 Pd 3.06-3.10, 6 Hg 3.33-3.40
Nd2 0.5000 0.1822 0.8584  2 Pd 2.96
Hg1 0.0000 0.5513 0.3239  1 Pd 2.94, 1 Hg 3.14
Nd3 0.5000 0.7631 0.5660  4 Pd 3.06-3.10, 6 Hg 3.33-3.40
Nd4 0.5000 0.8178 0.1416  2 Pd 2.96
Pd1 0.0000 0.9283 0.3653  1 Pd 2.77, 2 Hg 2.93-2.94, 6 Nd 2.96-3.10
Hg2 0.0000 0.8326 0.8551  1 Pd 2.93, 1 Hg 3.04
Hg3 0.0000 0.4487 0.6761  1 Pd 2.94, 1 Hg 3.14
Pd2 0.0000 0.0717 0.6347  1 Pd 2.77, 2 Hg 2.93-2.94, 6 Nd 2.96-3.10
Hg4 0.0000 0.5000 0.0000  4 Hg 3.04-3.14, 4 Nd 3.34
Hg5 0.0000 0.1674 0.1449  1 Pd 2.93, 1 Hg 3.04

Energy of formation, meV per atom: -563



(6)
Density functional theory data (GGA-PBE) for a relaxed structure of TbSm5Al3.

Cell: 6.7667 9.1987 9.2321 Å, 119.88 90.00 90.00°
With the nearest neighbours (Å) after each atom.
Atoms (fractional coordinates):
Al1 0.2500 0.0000 0.3315  7 Sm 3.09-3.39
Sm1 0.7500 0.6662 0.6727  3 Al 3.01-3.12
Al2 0.2500 0.6685 0.6685  7 Sm 3.09-3.39
Sm2 0.0000 0.3225 0.6450  8 Sm 3.38-3.62, 6 Al 3.39-3.66
Sm3 0.2500 0.0065 0.6727  3 Al 3.01-3.12
Sm4 0.0000 0.6775 0.3550  8 Sm 3.38-3.62, 6 Al 3.39-3.66
Sm5 0.7500 0.9935 0.3273  3 Al 3.01-3.12
Sm6 0.2500 0.3338 0.3273  3 Al 3.01-3.12
Sm7 0.2500 0.6608 0.0000  5 Al 3.04-3.38
Al3 0.7500 0.0000 0.6685  7 Sm 3.09-3.39
Tb1 0.0000 0.0000 0.0000  2 Tb 3.38, 6 Al 3.48-3.50, 6 Sm 3.49-3.55
Sm8 0.7500 0.3392 0.0000  5 Al 3.04-3.38
Al4 0.7500 0.3315 0.3315  7 Sm 3.09-3.39
Al5 0.7500 0.6694 0.0000  3 Sm 3.01-3.04
Tb2 0.5000 0.0000 0.0000  2 Tb 3.38, 6 Al 3.48-3.50, 6 Sm 3.49-3.55
Al6 0.2500 0.3306 0.0000  3 Sm 3.01-3.04
Sm9 0.5000 0.6775 0.3550  8 Sm 3.38-3.62, 6 Al 3.39-3.66
Sm10 0.5000 0.3225 0.6450  8 Sm 3.38-3.62, 6 Al 3.39-3.66

Energy of formation, meV per atom: -245



(7)
Density functional theory data (GGA-PBE) for a relaxed structure of AlInCo2S.

Cell: 4.8476 5.0146 4.8476 Å, 90.00 90.00 90.00°
With the nearest neighbours (Å) after each atom.
Atoms (fractional coordinates):
Co1 0.0000 0.0000 0.5000  2 In 2.42
S1 0.0000 0.5000 0.0000  2 In 2.51
In1 0.0000 0.0000 0.0000  4 Co 2.42, 2 S 2.51
Al1 0.5000 0.5000 0.5000  4 S 3.43, 8 Co 3.49
Co2 0.5000 0.0000 0.0000  2 In 2.42

Energy relative to the elements, uncorrected, eV/f.u.: 6.6



(8)
Density functional theory data (GGA-PBE) for a relaxed structure of LiTeW2.

Cell: 3.4124 3.4124 5.7436 Å, 90.00 90.00 90.00°
With the nearest neighbours (Å) after each atom.
Atoms (fractional coordinates):
Li1 0.5000 0.5000 0.2500  8 W 2.71, 2 Te 2.87
W1 0.0000 0.0000 0.0356  1 W 2.46, 4 Li 2.71
Te1 0.5000 0.5000 0.7500  2 Li 2.87, 8 W 2.92
W2 0.0000 0.0000 0.4644  1 W 2.46, 4 Li 2.71

Energy relative to the elements, uncorrected, eV/f.u.: 3.2



(9)
Density functional theory data (GGA-PBE) for a relaxed structure of La3PmTlRu.

Cell: 9.1433 9.1433 6.2376 Å, 109.46 109.46 48.86°
With the nearest neighbours (Å) after each atom.
Atoms (fractional coordinates):
La1 0.6343 0.1321 0.8868  2 Ru 3.01
Pm1 0.7016 0.2984 0.5000  2 Ru 2.78, 1 Pm 3.05
La2 0.8679 0.3657 0.1132  2 Ru 3.01
Ru1 0.9997 0.9997 0.7588  2 Pm 2.78, 1 Ru 3.01, 4 La 3.01
La3 0.3657 0.8679 0.1132  2 Ru 3.01
Pm2 0.2984 0.7016 0.5000  2 Ru 2.78, 1 Pm 3.05
La4 0.1804 0.1804 0.6748  2 Ru 3.22-3.24, 2 Pm 3.59
La5 0.1321 0.6343 0.8868  2 Ru 3.01
La6 0.8196 0.8196 0.3252  2 Ru 3.22-3.24, 2 Pm 3.59
Tl1 0.3043 0.3043 0.3031  2 Pm 3.39, 6 La 3.46-3.79
Ru2 0.0003 0.0003 0.2412  2 Pm 2.78, 1 Ru 3.01, 4 La 3.01
Tl2 0.6957 0.6957 0.6969  2 Pm 3.39, 6 La 3.46-3.79

Energy of formation, meV per atom: -296



(10)
Density functional theory data (GGA-PBE) for a relaxed structure of LiMg2Ir.

Cell: 2.8680 2.8680 9.2612 Å, 90.00 90.00 113.59°
With the nearest neighbours (Å) after each atom.
Atoms (fractional coordinates):
Mg1 0.0000 0.0000 0.4792  2 Ir 2.64, 4 Mg 2.87
Mg2 0.0000 0.0000 0.0208  2 Ir 2.64, 4 Mg 2.87
Ir1 0.5000 0.5000 0.2500  4 Mg 2.64, 4 Ir 2.87
Li1 0.5000 0.5000 0.7500  6 Li 2.87-3.14, 4 Mg 2.96

Energy of formation, meV per atom: -83



(11)
Density functional theory data (GGA-PBE) for a relaxed structure of MgGa2I6.

Cell: 7.4686 7.4686 9.3273 Å, 66.40 66.40 60.00°
With the nearest neighbours (Å) after each atom.
Atoms (fractional coordinates):
Ga1 0.2854 0.2854 0.1439  1 Ga 2.39, 3 I 2.65
I1 0.0590 0.4531 0.7577  1 Ga 2.64
I2 0.7303 0.0590 0.7577  1 Ga 2.64
Mg1 0.6667 0.6667 0.9998  6 I 3.02
I3 0.5690 0.2914 0.2418  1 Ga 2.65
I4 0.2914 0.8978 0.2418  1 Ga 2.65
I5 0.4531 0.7303 0.7577  1 Ga 2.64
I6 0.8978 0.5690 0.2418  1 Ga 2.65
Ga2 0.3817 0.3817 0.8549  1 Ga 2.39, 3 I 2.64

Energy relative to the elements, uncorrected, eV/f.u.: -5.7
Energy relative to the lowest polymorph listed for this composition, eV/f.u.: 0.000



(12)
Density functional theory data (GGA-PBE) for a relaxed structure of RbV2GaP.

Cell: 4.6861 6.2146 4.6861 Å, 90.00 90.00 90.00°
With the nearest neighbours (Å) after each atom.
Atoms (fractional coordinates):
V1 0.5000 0.0000 0.0000  2 P 2.34
Rb1 0.0000 0.5000 0.0000  2 P 3.11, 4 Ga 3.31
V2 0.0000 0.0000 0.5000  2 P 2.34
P1 0.0000 0.0000 0.0000  4 V 2.34
Ga1 0.5000 0.5000 0.5000  4 Rb 3.31

Energy of formation, meV per atom: 661



(13)
Density functional theory data (GGA-PBE) for a relaxed structure of BaCoRu4.

Cell: 5.3602 5.3602 5.3602 Å, 60.00 60.00 60.00°
With the nearest neighbours (Å) after each atom.
Atoms (fractional coordinates):
Ba1 0.7500 0.7500 0.7500  12 Ru 3.15, 4 Co 3.28
Ru1 0.3736 0.8792 0.3736  6 Ru 2.65-2.71
Ru2 0.3736 0.3736 0.8792  6 Ru 2.65-2.71
Ru3 0.3736 0.3736 0.3736  6 Ru 2.65-2.71
Co1 0.0000 0.0000 0.0000  12 Ru 3.14, 4 Ba 3.28
Ru4 0.8792 0.3736 0.3736  6 Ru 2.65-2.71

Energy of formation, meV per atom: 907



(14)
Density functional theory data (GGA-PBE) for a relaxed structure of CsGa2Ge2Au6.

Cell: 6.9169 7.7875 8.0883 Å, 125.59 90.00 63.70°
With the nearest neighbours (Å) after each atom.
Atoms (fractional coordinates):
Au1 0.0967 0.3979 0.1263  1 Ge 2.57, 2 Ga 2.66-2.69, 2 Au 2.83-2.87
Au2 0.9033 0.6021 0.8737  1 Ge 2.57, 2 Ga 2.66-2.69, 2 Au 2.83-2.87
Cs1 0.5000 0.0000 0.5000  12 Au 3.78-4.14, 4 Ga 4.11
Au3 0.8966 0.2068 0.4856  1 Ge 2.53, 2 Ga 2.59-2.79
Au4 0.1034 0.7932 0.5144  1 Ge 2.53, 2 Ga 2.59-2.79
Au5 0.4948 0.6010 0.8732  1 Ge 2.57, 2 Ga 2.66-2.69, 2 Au 2.83-2.87
Ge1 0.1117 0.7771 0.8186  3 Au 2.53-2.57, 1 Ge 2.54, 1 Ga 2.79
Au6 0.5052 0.3990 0.1268  1 Ge 2.57, 2 Ga 2.66-2.69, 2 Au 2.83-2.87
Ge2 0.8883 0.2229 0.1814  3 Au 2.53-2.57, 1 Ge 2.54, 1 Ga 2.79
Ga1 0.1323 0.7354 0.1390  6 Au 2.59-2.79, 1 Ge 2.79
Ga2 0.8677 0.2646 0.8610  6 Au 2.59-2.79, 1 Ge 2.79

Energy of formation, meV per atom: -143



(15)
Density functional theory data (GGA-PBE) for a relaxed structure of Ac3Nd2SmS6.

Cell: 7.2191 7.2191 7.2663 Å, 99.56 99.56 120.09°
With the nearest neighbours (Å) after each atom.
Atoms (fractional coordinates):
S1 0.5927 0.9228 0.7676  1 Sm 2.86, 2 Nd 2.89-2.90, 3 Ac 3.02-3.03
Nd1 0.6666 0.3334 0.0000  6 S 2.89-2.90
S2 0.4073 0.0772 0.2324  1 Sm 2.86, 2 Nd 2.89-2.90, 3 Ac 3.02-3.03
S3 0.2521 0.2521 0.7660  1 Sm 2.87, 2 Nd 2.90, 3 Ac 3.02-3.04
S4 0.0772 0.4073 0.2324  1 Sm 2.86, 2 Nd 2.89-2.90, 3 Ac 3.02-3.03
Ac1 0.5000 0.5000 0.5000  6 S 3.02-3.04
Ac2 0.8322 0.1678 0.5000  6 S 3.02-3.03
Ac3 0.1678 0.8322 0.5000  6 S 3.02-3.03
Nd2 0.3334 0.6666 0.0000  6 S 2.89-2.90
S5 0.7479 0.7479 0.2340  1 Sm 2.87, 2 Nd 2.90, 3 Ac 3.02-3.04
S6 0.9228 0.5927 0.7676  1 Sm 2.86, 2 Nd 2.89-2.90, 3 Ac 3.02-3.03
Sm1 0.0000 0.0000 0.0000  6 S 2.86-2.87

Energy relative to the elements, uncorrected, eV/f.u.: -24.1



(16)
Density functional theory data (GGA-PBE) for a relaxed structure of SiAs2AuSe.

Cell: 4.9795 4.9795 5.1856 Å, 90.00 90.00 90.00°
With the nearest neighbours (Å) after each atom.
Atoms (fractional coordinates):
Au1 0.0000 0.0000 0.0000  4 As 2.49, 2 Se 2.59
As1 0.0000 0.5000 0.0000  2 Au 2.49
Si1 0.5000 0.5000 0.5000  4 Se 3.52, 8 As 3.59
Se1 0.0000 0.0000 0.5000  2 Au 2.59
As2 0.5000 0.0000 0.0000  2 Au 2.49

Energy relative to the elements, uncorrected, eV/f.u.: 5.1
Energy relative to the lowest polymorph listed for this composition, eV/f.u.: 1.646



(17)
Density functional theory data (GGA-PBE) for a relaxed structure of Ac6Ir2CBr2.

Cell: 7.4217 7.4217 8.4141 Å, 98.97 98.97 119.43°
With the nearest neighbours (Å) after each atom.
Atoms (fractional coordinates):
Ir1 0.3301 0.6699 0.5000  6 Ac 2.96-2.99
Ac1 0.0692 0.3829 0.6930  1 C 2.80, 2 Ir 2.96-2.99
Br1 0.8318 0.1682 0.0000  6 Ac 3.47-3.55
Ac2 0.3829 0.0692 0.6930  1 C 2.80, 2 Ir 2.96-2.99
Ir2 0.6699 0.3301 0.5000  6 Ac 2.96-2.99
Ac3 0.2544 0.2544 0.3106  1 C 2.84, 2 Ir 2.97
Br2 0.1682 0.8318 0.0000  6 Ac 3.47-3.55
Ac4 0.9308 0.6171 0.3070  1 C 2.80, 2 Ir 2.96-2.99
Ac5 0.6171 0.9308 0.3070  1 C 2.80, 2 Ir 2.96-2.99
Ac6 0.7456 0.7456 0.6894  1 C 2.84, 2 Ir 2.97
C1 0.0000 0.0000 0.5000  6 Ac 2.80-2.84

Energy relative to the elements, uncorrected, eV/f.u.: -8.5



(18)
Density functional theory data (GGA-PBE) for a relaxed structure of In2NiMo.

Cell: 5.4633 5.4633 4.9434 Å, 68.79 68.79 31.05°
With the nearest neighbours (Å) after each atom.
Atoms (fractional coordinates):
Mo1 0.5252 0.5252 0.5493  2 Ni 2.65, 7 In 2.85-2.95, 2 Mo 2.92
In1 0.7653 0.7653 0.6865  4 Ni 2.79-3.00, 3 Mo 2.85-2.95, 3 In 2.92-3.03
In2 0.9811 0.9811 0.0742  4 Mo 2.86-2.95, 3 Ni 2.87-2.90, 3 In 2.92-3.03
Ni1 0.2285 0.2285 0.1900  2 Mo 2.65, 5 In 2.79-2.90, 2 Ni 2.92

Energy relative to the lowest polymorph listed for this composition, eV/f.u.: 0.040
Energy of formation, meV per atom: 213



(19)
Density functional theory data (GGA-PBE) for a relaxed structure of CoTcOs2.

Cell: 4.6314 4.6314 4.6208 Å, 80.64 80.64 33.72°
With the nearest neighbours (Å) after each atom.
Atoms (fractional coordinates):
Os1 0.0000 0.0000 0.9979  4 Tc 2.63-2.72, 5 Os 2.67-2.69, 3 Co 2.67
Os2 0.2512 0.2512 0.2440  4 Co 2.66-2.69, 5 Os 2.67-2.69, 3 Tc 2.70-2.71
Co1 0.7491 0.7491 0.7487  3 Tc 2.63-2.67, 7 Os 2.66-2.69, 2 Co 2.69
Tc1 0.4997 0.4997 0.5094  7 Os 2.63-2.72, 3 Co 2.63-2.67, 2 Tc 2.69

Energy relative to the lowest polymorph listed for this composition, eV/f.u.: 0.137
Energy of formation, meV per atom: 135



(20)
Density functional theory data (GGA-PBE) for a relaxed structure of ErSi2.

Cell: 3.9283 3.9283 7.8551 Å, 104.48 104.48 90.00°
With the nearest neighbours (Å) after each atom.
Atoms (fractional coordinates):
Si1 0.4564 0.2064 0.4128  3 Si 2.34-2.39
Er1 0.8750 0.6250 0.2500  12 Si 3.02-3.16
Si2 0.2936 0.0436 0.0872  3 Si 2.34-2.39
Er2 0.1250 0.3750 0.7500  12 Si 3.02-3.16
Si3 0.5436 0.7936 0.5872  3 Si 2.34-2.39
Si4 0.7064 0.9564 0.9128  3 Si 2.34-2.39

Energy relative to the elements, uncorrected, eV/f.u.: -1.5



no.,DFT total energy (eV/atom),total magnetic moment (μB per cell)
1,-6.21,0.000
2,-3.26,3.261
3,-5.50,0.000
4,-2.49,0.000
5,-3.38,0.000
6,-4.63,0.001
7,-3.64,3.406
8,-6.93,0.000
9,-5.49,0.000
10,-3.57,0.000
11,-2.52,0.000
12,-4.87,5.743
13,-6.78,6.024
14,-3.40,0.000
15,-6.29,0.000
16,-3.28,0.734
17,-5.77,0.000
18,-5.31,0.000
19,-9.85,0.001
20,-5.64,0.000